DFT (PBE+U) results for a relaxed Rb4WO5 crystal.

```
data_Rb4WO5
_symmetry_space_group_name_H-M 'P 1'
_symmetry_Int_Tables_number 1
_cell_length_a 6.669
_cell_length_b 10.838
_cell_length_c 18.048
_cell_angle_alpha 94.53
_cell_angle_beta 91.99
_cell_angle_gamma 96.48
loop_
_symmetry_equiv_pos_as_xyz
'x,y,z'
loop_
_atom_site_label
_atom_site_type_symbol
_atom_site_fract_x
_atom_site_fract_y
_atom_site_fract_z
_atom_site_occupancy
Rb1 Rb 0.462 0.002 0.680 1
Rb2 Rb 0.232 0.449 0.432 1
Rb3 Rb 0.055 0.083 0.415 1
Rb4 Rb 0.736 0.098 0.151 1
Rb5 Rb 0.926 0.304 0.992 1
Rb6 Rb 0.074 0.696 0.008 1
Rb7 Rb 0.937 0.146 0.780 1
Rb8 Rb 0.012 0.512 0.180 1
Rb9 Rb 0.764 0.958 0.942 1
Rb10 Rb 0.455 0.660 0.288 1
Rb11 Rb 0.285 0.614 0.658 1
Rb12 Rb 0.538 0.998 0.320 1
Rb13 Rb 0.236 0.042 0.058 1
Rb14 Rb 0.543 0.205 0.509 1
Rb15 Rb 0.438 0.412 0.093 1
Rb16 Rb 0.562 0.588 0.907 1
Rb17 Rb 0.264 0.902 0.849 1
Rb18 Rb 0.988 0.488 0.820 1
Rb19 Rb 0.545 0.340 0.712 1
Rb20 Rb 0.945 0.917 0.585 1
Rb21 Rb 0.063 0.854 0.220 1
Rb22 Rb 0.457 0.795 0.491 1
Rb23 Rb 0.768 0.551 0.568 1
Rb24 Rb 0.715 0.386 0.342 1
O1 O 0.690 0.622 0.425 1
O2 O 0.931 0.316 0.509 1
O3 O 0.208 0.133 0.586 1
O4 O 0.383 0.159 0.806 1
O5 O 0.338 0.099 0.207 1
O6 O 0.953 0.628 0.315 1
O7 O 0.962 0.196 0.286 1
O8 O 0.352 0.400 0.251 1
O9 O 0.725 0.614 0.078 1
O10 O 0.097 0.260 0.151 1
O11 O 0.038 0.804 0.714 1
O12 O 0.069 0.684 0.491 1
O13 O 0.824 0.165 0.621 1
O14 O 0.176 0.835 0.379 1
O15 O 0.047 0.372 0.685 1
O16 O 0.845 0.864 0.077 1
O17 O 0.648 0.600 0.749 1
O18 O 0.792 0.867 0.414 1
O19 O 0.352 0.221 0.346 1
O20 O 0.310 0.378 0.575 1
O21 O 0.903 0.740 0.849 1
O22 O 0.650 0.339 0.877 1
O23 O 0.275 0.386 0.922 1
O24 O 0.662 0.901 0.793 1
O25 O 0.350 0.661 0.123 1
O26 O 0.155 0.136 0.923 1
O27 O 0.648 0.779 0.654 1
O28 O 0.538 0.183 0.984 1
O29 O 0.617 0.841 0.194 1
O30 O 0.462 0.817 0.016 1
W1 W 0.937 0.727 0.404 1
W2 W 0.219 0.235 0.248 1
W3 W 0.781 0.765 0.752 1
W4 W 0.063 0.273 0.596 1
W5 W 0.597 0.759 0.098 1
W6 W 0.403 0.241 0.902 1
```

Its energy above the lowest structure with this stoichiometry is 0.000 eV per atom.



DFT (PBE+U) results for a relaxed RbWO4 crystal.

```
data_RbWO4
_symmetry_space_group_name_H-M 'P 1'
_symmetry_Int_Tables_number 1
_cell_length_a 5.093
_cell_length_b 5.093
_cell_length_c 8.563
_cell_angle_alpha 90.00
_cell_angle_beta 90.00
_cell_angle_gamma 95.60
loop_
_symmetry_equiv_pos_as_xyz
'x,y,z'
loop_
_atom_site_label
_atom_site_type_symbol
_atom_site_fract_x
_atom_site_fract_y
_atom_site_fract_z
_atom_site_occupancy
O1 O 0.137 0.435 0.250 1
O2 O 0.374 0.626 0.931 1
O3 O 0.565 0.863 0.250 1
O4 O 0.374 0.626 0.569 1
O5 O 0.626 0.374 0.431 1
O6 O 0.863 0.565 0.750 1
O7 O 0.626 0.374 0.069 1
O8 O 0.435 0.137 0.750 1
W1 W 0.512 0.488 0.750 1
W2 W 0.488 0.512 0.250 1
Rb1 Rb 0.000 0.000 0.000 1
Rb2 Rb 0.000 0.000 0.500 1
```

Its final energy is -6.25 eV per atom.



DFT (PBE+U) results for a relaxed Rb2W2O7 crystal.

```
data_Rb2W2O7
_symmetry_space_group_name_H-M 'P 1'
_symmetry_Int_Tables_number 1
_cell_length_a 5.817
_cell_length_b 6.912
_cell_length_c 6.912
_cell_angle_alpha 105.16
_cell_angle_beta 96.69
_cell_angle_gamma 96.69
loop_
_symmetry_equiv_pos_as_xyz
'x,y,z'
loop_
_atom_site_label
_atom_site_type_symbol
_atom_site_fract_x
_atom_site_fract_y
_atom_site_fract_z
_atom_site_occupancy
Rb1 Rb 0.000 0.691 0.309 1
Rb2 Rb 0.000 0.309 0.691 1
O1 O 0.753 0.634 0.900 1
O2 O 0.753 0.900 0.634 1
O3 O 0.500 0.000 0.000 1
O4 O 0.678 0.363 0.363 1
O5 O 0.247 0.366 0.100 1
O6 O 0.322 0.637 0.637 1
O7 O 0.247 0.100 0.366 1
W1 W 0.417 0.211 0.211 1
W2 W 0.583 0.789 0.789 1
```

Its energy above the lowest structure with this stoichiometry is 0.086 eV per atom.



DFT (PBE+U) results for a relaxed Rb3WO4 crystal.

```
data_Rb3WO4
_symmetry_space_group_name_H-M 'P 1'
_symmetry_Int_Tables_number 1
_cell_length_a 6.388
_cell_length_b 9.387
_cell_length_c 8.643
_cell_angle_alpha 90.00
_cell_angle_beta 90.00
_cell_angle_gamma 90.00
loop_
_symmetry_equiv_pos_as_xyz
'x,y,z'
loop_
_atom_site_label
_atom_site_type_symbol
_atom_site_fract_x
_atom_site_fract_y
_atom_site_fract_z
_atom_site_occupancy
W1 W 0.498 0.912 0.500 1
W2 W 0.998 0.088 0.000 1
Rb1 Rb 0.506 0.295 0.234 1
Rb2 Rb 0.006 0.705 0.266 1
Rb3 Rb 0.506 0.295 0.766 1
Rb4 Rb 0.515 0.860 0.000 1
Rb5 Rb 0.015 0.140 0.500 1
Rb6 Rb 0.006 0.705 0.734 1
O1 O 0.021 0.893 0.000 1
O2 O 0.625 0.844 0.327 1
O3 O 0.220 0.866 0.500 1
O4 O 0.521 0.107 0.500 1
O5 O 0.125 0.156 0.173 1
O6 O 0.125 0.156 0.827 1
O7 O 0.720 0.134 0.000 1
O8 O 0.625 0.844 0.673 1
```

Its energy above the lowest structure with this stoichiometry is 0.000 eV per atom.



DFT (PBE+U) results for a relaxed RbW4O12 crystal.

```
data_RbW4O12
_symmetry_space_group_name_H-M 'P 1'
_symmetry_Int_Tables_number 1
_cell_length_a 7.533
_cell_length_b 10.796
_cell_length_c 10.796
_cell_angle_alpha 74.25
_cell_angle_beta 69.58
_cell_angle_gamma 69.58
loop_
_symmetry_equiv_pos_as_xyz
'x,y,z'
loop_
_atom_site_label
_atom_site_type_symbol
_atom_site_fract_x
_atom_site_fract_y
_atom_site_fract_z
_atom_site_occupancy
O1 O 0.556 0.232 0.020 1
O2 O 0.692 0.730 0.520 1
O3 O 0.192 0.232 0.020 1
O4 O 0.500 0.500 0.000 1
O5 O 0.692 0.520 0.730 1
O6 O 0.059 0.520 0.730 1
O7 O 0.250 0.250 0.250 1
O8 O 0.941 0.270 0.480 1
O9 O 0.126 0.087 0.662 1
O10 O 0.308 0.270 0.480 1
O11 O 0.375 0.835 0.414 1
O12 O 0.000 0.000 0.500 1
O13 O 0.556 0.020 0.232 1
O14 O 0.625 0.165 0.586 1
O15 O 0.750 0.750 0.750 1
O16 O 0.749 0.251 0.749 1
O17 O 0.251 0.251 0.749 1
O18 O 0.941 0.480 0.270 1
O19 O 0.625 0.586 0.165 1
O20 O 0.059 0.730 0.520 1
O21 O 0.000 0.500 0.500 1
O22 O 0.308 0.480 0.270 1
O23 O 0.444 0.980 0.768 1
O24 O 0.808 0.980 0.768 1
O25 O 0.375 0.414 0.835 1
O26 O 0.444 0.768 0.980 1
O27 O 0.000 0.500 0.000 1
O28 O 0.126 0.662 0.087 1
O29 O 0.251 0.749 0.251 1
O30 O 0.192 0.020 0.232 1
O31 O 0.874 0.913 0.338 1
O32 O 0.808 0.768 0.980 1
O33 O 0.500 0.000 0.000 1
O34 O 0.874 0.338 0.913 1
O35 O 0.500 0.000 0.500 1
O36 O 0.749 0.749 0.251 1
W1 W 0.125 0.875 0.375 1
W2 W 0.625 0.875 0.375 1
W3 W 0.125 0.375 0.375 1
W4 W 0.625 0.375 0.875 1
W5 W 0.875 0.125 0.625 1
W6 W 0.125 0.375 0.875 1
W7 W 0.375 0.125 0.625 1
W8 W 0.376 0.124 0.124 1
W9 W 0.875 0.625 0.125 1
W10 W 0.624 0.876 0.876 1
W11 W 0.875 0.625 0.625 1
W12 W 0.375 0.625 0.125 1
Rb1 Rb 0.216 0.784 0.784 1
Rb2 Rb 0.500 0.500 0.500 1
Rb3 Rb 0.784 0.216 0.216 1
```

Its final energy is -7.31 eV per atom.



DFT (PBE+U) results for a relaxed Rb2W2O crystal.

```
data_Rb2W2O
_symmetry_space_group_name_H-M 'P 1'
_symmetry_Int_Tables_number 1
_cell_length_a 6.729
_cell_length_b 6.729
_cell_length_c 7.348
_cell_angle_alpha 90.00
_cell_angle_beta 90.00
_cell_angle_gamma 90.00
loop_
_symmetry_equiv_pos_as_xyz
'x,y,z'
loop_
_atom_site_label
_atom_site_type_symbol
_atom_site_fract_x
_atom_site_fract_y
_atom_site_fract_z
_atom_site_occupancy
O1 O 0.000 0.000 0.000 1
O2 O 0.500 0.500 0.000 1
Rb1 Rb 0.165 0.335 0.000 1
Rb2 Rb 0.835 0.665 0.000 1
Rb3 Rb 0.335 0.835 0.000 1
Rb4 Rb 0.665 0.165 0.000 1
W1 W 0.837 0.337 0.500 1
W2 W 0.663 0.837 0.500 1
W3 W 0.337 0.163 0.500 1
W4 W 0.163 0.663 0.500 1
```

Its energy above the lowest structure with this stoichiometry is 0.380 eV per atom.



DFT (PBE+U) results for a relaxed Rb2WO4 crystal.

```
data_Rb2WO4
_symmetry_space_group_name_H-M 'P 1'
_symmetry_Int_Tables_number 1
_cell_length_a 7.291
_cell_length_b 7.291
_cell_length_c 8.043
_cell_angle_alpha 66.64
_cell_angle_beta 66.64
_cell_angle_gamma 52.80
loop_
_symmetry_equiv_pos_as_xyz
'x,y,z'
loop_
_atom_site_label
_atom_site_type_symbol
_atom_site_fract_x
_atom_site_fract_y
_atom_site_fract_z
_atom_site_occupancy
W1 W 0.824 0.824 0.227 1
W2 W 0.176 0.176 0.773 1
O1 O 0.907 0.907 0.360 1
O2 O 0.329 0.329 0.623 1
O3 O 0.087 0.628 0.083 1
O4 O 0.628 0.087 0.083 1
O5 O 0.913 0.372 0.917 1
O6 O 0.671 0.671 0.377 1
O7 O 0.093 0.093 0.640 1
O8 O 0.372 0.913 0.917 1
Rb1 Rb 0.490 0.490 0.236 1
Rb2 Rb 0.510 0.510 0.764 1
Rb3 Rb 0.156 0.156 0.252 1
Rb4 Rb 0.844 0.844 0.748 1
```

Its energy above the lowest structure with this stoichiometry is 0.000 eV per atom.



DFT (PBE+U) results for a relaxed RbWO3 crystal.

```
data_RbWO3
_symmetry_space_group_name_H-M 'P 1'
_symmetry_Int_Tables_number 1
_cell_length_a 4.027
_cell_length_b 4.027
_cell_length_c 4.027
_cell_angle_alpha 90.00
_cell_angle_beta 90.00
_cell_angle_gamma 90.00
loop_
_symmetry_equiv_pos_as_xyz
'x,y,z'
loop_
_atom_site_label
_atom_site_type_symbol
_atom_site_fract_x
_atom_site_fract_y
_atom_site_fract_z
_atom_site_occupancy
W1 W 0.000 0.000 0.000 1
O1 O 0.500 0.000 0.000 1
O2 O 0.000 0.500 0.000 1
O3 O 0.000 0.000 0.500 1
Rb1 Rb 0.500 0.500 0.500 1
```

Its final energy is -6.50 eV per atom.